Compound: YNb2Ga2
Source: the Alexandria database
Functional: PBE-GGA
Structure: relaxed

Cell lengths 7.385, 7.385, 3.497 Å; angles 90.00, 90.00, 90.00 degrees
Space group P4/mbm (No. 127)
Symmetry-distinct sites (fractional):
Y  0.000  0.000  0.000 (multiplicity 2)
Nb  0.173  0.327  0.500 (multiplicity 4)
Ga  0.122  0.622  0.000 (multiplicity 4)

## Properties
As for the distance to the lowest polymorph of the same formula: 133.2 meV/atom. The value obtained for the spin magnetization is 0.00 μB/cell. The calculation puts the volume at 190.7 Å³ per cell. Its energy of formation from the pure elements is -6.1 kcal/mol of atoms.

=====

Compound: LaRuC2
Source: the Alexandria database
Functional: PBE-GGA
Structure: relaxed

Cell lengths 3.832, 3.932, 8.131 Å; angles 97.15, 100.16, 90.39 degrees
Space group P1 (No. 1)
Symmetry-distinct sites (fractional):
La  0.000  0.000  0.000 (multiplicity 1)
La  0.226  0.434  0.413 (multiplicity 1)
Ru  0.434  0.466  0.791 (multiplicity 1)
Ru  0.799  0.986  0.618 (multiplicity 1)
C  0.520  0.537  0.048 (multiplicity 1)
C  0.615  0.716  0.204 (multiplicity 1)
C  0.710  0.901  0.358 (multiplicity 1)
C  0.906  0.513  0.697 (multiplicity 1)

## Properties
As for the distance to the lowest polymorph of the same formula: 154.4 meV/atom. The value obtained for the spin magnetization is 0.00 μB/cell. The calculation puts the volume at 119.6 Å³ per cell. Its energy of formation from the pure elements is -0.1 kcal/mol of atoms.

=====

Compound: Ag2HgHAu
Source: the Alexandria database
Functional: PBE-GGA
Structure: relaxed

Cell lengths 4.117, 4.117, 4.706 Å; angles 90.00, 90.00, 90.00 degrees
Space group P4/mmm (No. 123)
Symmetry-distinct sites (fractional):
Ag  0.000  0.500  0.000 (multiplicity 2)
Hg  0.000  0.000  0.500 (multiplicity 1)
H  0.000  0.000  0.000 (multiplicity 1)
Au  0.500  0.500  0.500 (multiplicity 1)

## Properties
As for the distance to the lowest polymorph of the same formula: 41.8 meV/atom. The value obtained for the spin magnetization is 0.00 μB/cell. The calculation puts the volume at 79.8 Å³ per cell.